# SbC3F

A relaxed SbC3F crystal (PBE, Alexandria via LeMat-Bulk). Values from VASP.

```
&SYSTEM
  ibrav = 0, nat = 5, ntyp = 3
/
ATOMIC_SPECIES
Sb 121.76 Sb.upf
C 12.01 C.upf
F 19.00 F.upf
ATOMIC_POSITIONS crystal
Sb 0.0000 0.0000 0.0000
C 0.0000 0.0000 0.5000
C 0.0000 0.5000 0.0000
C 0.5000 0.0000 0.0000
F 0.5000 0.5000 0.5000
CELL_PARAMETERS angstrom
4.3006 0.0000 0.0000
0.0000 4.3006 0.0000
0.0000 0.0000 4.3006
```

Calculated values
Energy relative to the lowest polymorph listed for this composition ... 0.0 meV/atom
Formation energy without anion corrections ... 2.920 eV per atom


# SbC2F

A relaxed SbC2F crystal (PBE, Alexandria via LeMat-Bulk). Values from VASP.

```
&SYSTEM
  ibrav = 0, nat = 16, ntyp = 3
/
ATOMIC_SPECIES
Sb 121.76 Sb.upf
C 12.01 C.upf
F 19.00 F.upf
ATOMIC_POSITIONS crystal
Sb 0.0000 0.0000 0.0000
Sb 0.0000 0.5000 0.5000
Sb 0.5000 0.0000 0.5000
Sb 0.5000 0.5000 0.0000
C 0.2500 0.2500 0.2500
C 0.2500 0.2500 0.7500
C 0.2500 0.7500 0.2500
C 0.2500 0.7500 0.7500
C 0.7500 0.2500 0.2500
C 0.7500 0.2500 0.7500
C 0.7500 0.7500 0.2500
C 0.7500 0.7500 0.7500
F 0.0000 0.0000 0.5000
F 0.0000 0.5000 0.0000
F 0.5000 0.0000 0.0000
F 0.5000 0.5000 0.5000
CELL_PARAMETERS angstrom
5.6368 0.0000 0.0000
0.0000 5.6368 0.0000
0.0000 0.0000 5.6368
```

Calculated values
Energy relative to the lowest polymorph listed for this composition ... 0.0 meV/atom
Formation energy without anion corrections ... 1.748 eV per atom


# SbCSeF2

A relaxed SbCSeF2 crystal (PBE, Alexandria via LeMat-Bulk). Values from VASP.

```
&SYSTEM
  ibrav = 0, nat = 5, ntyp = 4
/
ATOMIC_SPECIES
Sb 121.76 Sb.upf
C 12.01 C.upf
Se 78.96 Se.upf
F 19.00 F.upf
ATOMIC_POSITIONS crystal
Sb 0.0000 0.0000 0.0000
C 0.5000 0.5000 0.5000
Se 0.0000 0.0000 0.5000
F 0.0000 0.5000 0.0000
F 0.5000 0.0000 0.0000
CELL_PARAMETERS angstrom
4.2191 0.0000 0.0000
0.0000 4.2191 0.0000
0.0000 0.0000 5.6908
```

Calculated values
Formation energy without anion corrections ... 0.126 eV per atom


> What is the formation energy without anion corrections in the first record?

2.920 eV per atom


Repeat the second record exactly.
# SbC2F

A relaxed SbC2F crystal (PBE, Alexandria via LeMat-Bulk). Values from VASP.

```
&SYSTEM
  ibrav = 0, nat = 16, ntyp = 3
/
ATOMIC_SPECIES
Sb 121.76 Sb.upf
C 12.01 C.upf
F 19.00 F.upf
ATOMIC_POSITIONS crystal
Sb 0.0000 0.0000 0.0000
Sb 0.0000 0.5000 0.5000
Sb 0.5000 0.0000 0.5000
Sb 0.5000 0.5000 0.0000
C 0.2500 0.2500 0.2500
C 0.2500 0.2500 0.7500
C 0.2500 0.7500 0.2500
C 0.2500 0.7500 0.7500
C 0.7500 0.2500 0.2500
C 0.7500 0.2500 0.7500
C 0.7500 0.7500 0.2500
C 0.7500 0.7500 0.7500
F 0.0000 0.0000 0.5000
F 0.0000 0.5000 0.0000
F 0.5000 0.0000 0.0000
F 0.5000 0.5000 0.5000
CELL_PARAMETERS angstrom
5.6368 0.0000 0.0000
0.0000 5.6368 0.0000
0.0000 0.0000 5.6368
```

Calculated values
Energy relative to the lowest polymorph listed for this composition ... 0.0 meV/atom
Formation energy without anion corrections ... 1.748 eV per atom